Below is a geometry-optimized HfZnCr2O6 structure, with properties calculated at the PBE+U level.

It has space group R3 (No. 146, hexagonal axes), with a = 5.2191 Å, b = 5.2191 Å, c = 13.9661 Å, α = 90.00°, β = 90.00° and γ = 120.00°. Symmetry generates all atoms from Hf at (0.0000, 0.0000, 0.0000), Zn at (0.0000, 0.0000, 0.4908), Cr at (0.0000, 0.0000, 0.2071), Cr at (0.0000, 0.0000, 0.7061), O at (0.0365, 0.6850, 0.2798) and O at (0.0482, 0.3604, 0.7765).

For the energy, the calculation gives -7.8672 eV per atom. The density of states at the Fermi level is 0.00 states/eV per cell.